Here is a relaxed structure of CsW3C from Alexandria via LeMat-Bulk. Energies are from PBE.

Results
Space-group type = Pm-3m
Energy = -39.7 eV/cell
Excess energy over the best structure of this formula in the dataset = 0.0000 eV/atom

a = 4.3784 Å, b = 4.3784 Å, c = 4.3784 Å
α = 90.00°, β = 90.00°, γ = 90.00°
Fractional coordinates of all 5 atoms:
1 Cs 0.0000 0.0000 0.0000
2 W 0.0000 0.5000 0.5000
3 W 0.5000 0.0000 0.5000
4 W 0.5000 0.5000 0.0000
5 C 0.5000 0.5000 0.5000

---

Here is a relaxed structure of CsW3C from Alexandria via LeMat-Bulk. Energies are from PBE.

Results
Space-group type = Pm-3m
Energy = -22.6 eV/cell
Excess energy over the best structure of this formula in the dataset = 3.4365 eV/atom

a = 4.9088 Å, b = 4.9088 Å, c = 4.9088 Å
α = 90.00°, β = 90.00°, γ = 90.00°
Fractional coordinates of all 5 atoms:
1 Cs 0.0000 0.0000 0.0000
2 W 0.0000 0.0000 0.5000
3 W 0.0000 0.5000 0.0000
4 W 0.5000 0.0000 0.0000
5 C 0.5000 0.5000 0.5000

---

Here is a relaxed structure of CsW2C4 from Alexandria via LeMat-Bulk. Energies are from PBE.

Results
Space-group type = I4/mmm
Energy = -41.1 eV/cell

a = 6.6993 Å, b = 6.6993 Å, c = 6.6993 Å
α = 140.11°, β = 140.11°, γ = 57.68°
Fractional coordinates of all 7 atoms:
1 Cs 0.0000 0.0000 0.0000
2 W 0.3928 0.3928 0.0000
3 W 0.6072 0.6072 0.0000
4 C 0.0000 0.5000 0.5000
5 C 0.2404 0.2404 0.0000
6 C 0.5000 0.0000 0.5000
7 C 0.7596 0.7596 0.0000

---

Here is a relaxed structure of CsYC3 from Alexandria via LeMat-Bulk. Energies are from PBE.

Results
Space-group type = Pm-3m
Energy = -19.2 eV/cell
Excess energy over the best structure of this formula in the dataset = 0.8608 eV/atom

a = 4.4649 Å, b = 4.4649 Å, c = 4.4649 Å
α = 90.00°, β = 90.00°, γ = 90.00°
Fractional coordinates of all 5 atoms:
1 Cs 0.0000 0.0000 0.0000
2 Y 0.5000 0.5000 0.5000
3 C 0.0000 0.0000 0.5000
4 C 0.0000 0.5000 0.0000
5 C 0.5000 0.0000 0.0000

---

Here is a relaxed structure of CsYC3 from Alexandria via LeMat-Bulk. Energies are from PBE.

Results
Space-group type = Pm-3m
Energy = -23.5 eV/cell
Excess energy over the best structure of this formula in the dataset = 0.0000 eV/atom

a = 4.8192 Å, b = 4.8192 Å, c = 4.8192 Å
α = 90.00°, β = 90.00°, γ = 90.00°
Fractional coordinates of all 5 atoms:
1 Cs 0.0000 0.0000 0.0000
2 Y 0.5000 0.5000 0.5000
3 C 0.0000 0.5000 0.5000
4 C 0.5000 0.0000 0.5000
5 C 0.5000 0.5000 0.0000

---

Here is a relaxed structure of CsZnC2 from Alexandria via LeMat-Bulk. Energies are from PBE.

Results
Space-group type = I4_1/amd
Energy = -26.0 eV/cell

a = 7.3249 Å, b = 7.3249 Å, c = 7.3249 Å
α = 140.23°, β = 140.23°, γ = 57.50°
Fractional coordinates of all 8 atoms:
1 Cs 0.3750 0.6250 0.7500
2 Cs 0.6250 0.3750 0.2500
3 Zn 0.1250 0.8750 0.2500
4 Zn 0.8750 0.1250 0.7500
5 C 0.0000 0.0000 0.0000
6 C 0.0000 0.0000 0.5000
7 C 0.0000 0.5000 0.0000
8 C 0.5000 0.0000 0.5000

---

Please write out number 1 again, unchanged.
Here is a relaxed structure of CsW3C from Alexandria via LeMat-Bulk. Energies are from PBE.

Results
Space-group type = Pm-3m
Energy = -39.7 eV/cell
Excess energy over the best structure of this formula in the dataset = 0.0000 eV/atom

a = 4.3784 Å, b = 4.3784 Å, c = 4.3784 Å
α = 90.00°, β = 90.00°, γ = 90.00°
Fractional coordinates of all 5 atoms:
1 Cs 0.0000 0.0000 0.0000
2 W 0.0000 0.5000 0.5000
3 W 0.5000 0.0000 0.5000
4 W 0.5000 0.5000 0.0000
5 C 0.5000 0.5000 0.5000